# Cu2HgMo | Alexandria via LeMat-Bulk | SCAN | single point on PBEsol structure
data_Cu2HgMo
_symmetry_space_group_name_H-M 'P 1'
_symmetry_Int_Tables_number 1
_cell_length_a 2.765
_cell_length_b 2.765
_cell_length_c 26.918
_cell_angle_alpha 90.00
_cell_angle_beta 90.00
_cell_angle_gamma 120.00
loop_
_symmetry_equiv_pos_as_xyz
'x,y,z'
loop_
_atom_site_label
_atom_site_fract_x
_atom_site_fract_y
_atom_site_fract_z
Cu1 0.000 0.000 0.246
Cu2 0.000 0.000 0.754
Cu3 0.333 0.667 0.420
Cu4 0.333 0.667 0.913
Cu5 0.667 0.333 0.087
Cu6 0.667 0.333 0.580
Hg1 0.000 0.000 0.000
Hg2 0.333 0.667 0.667
Hg3 0.667 0.333 0.333
Mo1 0.000 0.000 0.500
Mo2 0.333 0.667 0.167
Mo3 0.667 0.333 0.833
# * space group: R-3m (166)
# * VASP energy: -2.4217 Ry per atom